This record from Alexandria via LeMat-Bulk describes Sr2CoI2O2 after structural relaxation. The functional is GGA+U.

As for the space-group type: No. 139. The value obtained for the electronic total energy is -34.20 eV/cell. The calculation puts the calculated volume at 180.3 Å³ per cell.

a = 4.152 Å, b = 4.152 Å, c = 10.862 Å
α = 101.02°, β = 101.02°, γ = 90.00°
Site moments in Bohr magnetons follow the coordinates.
Fractional positions:
O 0.500 0.000 0.000  0.09
O 0.000 0.500 0.000  0.09
Sr 0.578 0.578 0.155  0.00
Sr 0.422 0.422 0.845  0.00
Co 0.000 0.000 0.000  2.69
I 0.158 0.158 0.316  0.02
I 0.842 0.842 0.684  0.02